<1>
! Li2TlPd4 | Alexandria | PBE | relaxed; values from VASP
! total moment	0.000	μB/atom
! V	161.4	Å³/cell
&SYSTEM
  ibrav = 0, nat = 7, ntyp = 3
/
ATOMIC_SPECIES
Tl 204.38 Tl.upf
Pd 106.42 Pd.upf
Li 6.94 Li.upf
ATOMIC_POSITIONS angstrom
Tl 0.000 0.000 0.000
Pd 2.509 2.509 3.788
Pd 5.018 5.018 2.624
Pd 0.000 2.509 0.000
Pd 2.509 0.000 0.000
Li 2.509 2.509 1.339
Li 5.018 5.018 5.073
CELL_PARAMETERS angstrom
5.018 0.000 0.000
0.000 5.018 0.000
2.509 2.509 6.412

---

<2>
! Li2TlPd4 | Alexandria | PBE | relaxed; values from VASP
! total moment	0.000	μB/atom
! V	223.6	Å³/cell
&SYSTEM
  ibrav = 0, nat = 14, ntyp = 3
/
ATOMIC_SPECIES
Li 6.94 Li.upf
Tl 204.38 Tl.upf
Pd 106.42 Pd.upf
ATOMIC_POSITIONS angstrom
Li -0.304 -4.745 0.874
Li -2.643 -3.910 -0.887
Li -1.213 -1.735 0.501
Li 3.454 -3.660 0.652
Tl 1.207 -3.014 -0.883
Tl -4.984 -2.713 0.566
Pd -2.642 -3.596 1.994
Pd -1.104 -2.204 -2.337
Pd 3.502 -3.875 -2.151
Pd -0.451 -4.910 -2.044
Pd 1.167 -2.573 1.836
Pd 1.983 -5.264 2.294
Pd 1.975 -5.647 -0.422
Pd -4.965 -3.203 -2.165
CELL_PARAMETERS angstrom
-5.450 -2.693 1.854
-0.013 -0.667 -5.540
5.320 -4.158 3.351

---

Ranked by calculated energy, most stable first: <2>, <1>.

---

<1>
! Li4Tl2Pd3 | Alexandria | PBE | relaxed; values from VASP
! total moment	0.000	μB/atom
! V	143.3	Å³/cell
&SYSTEM
  ibrav = 0, nat = 9, ntyp = 3
/
ATOMIC_SPECIES
Li 6.94 Li.upf
Tl 204.38 Tl.upf
Pd 106.42 Pd.upf
ATOMIC_POSITIONS angstrom
Li -8.727 -1.532 1.707
Li -4.909 -0.971 -1.810
Li -6.326 0.335 2.959
Li -2.508 0.896 -0.558
Tl -6.061 -2.287 2.145
Tl -5.174 1.651 -0.997
Pd -4.214 -0.632 0.742
Pd 0.000 0.000 0.000
Pd -7.021 -0.004 0.407
CELL_PARAMETERS angstrom
-2.848 3.450 0.316
-3.076 0.672 -3.210
-5.311 -4.759 4.043

---

<2>
! Li4Tl2Pd3 | Alexandria | PBE | relaxed; values from VASP
! total moment	0.000	μB/atom
! V	147.3	Å³/cell
&SYSTEM
  ibrav = 0, nat = 9, ntyp = 3
/
ATOMIC_SPECIES
Li 6.94 Li.upf
Tl 204.38 Tl.upf
Pd 106.42 Pd.upf
ATOMIC_POSITIONS angstrom
Li -2.068 -1.603 0.989
Li -1.538 -2.251 3.632
Li 1.045 -1.516 5.271
Li 0.515 -0.867 2.628
Tl 0.621 -3.921 3.917
Tl -1.644 0.803 2.343
Pd -1.104 -0.008 5.072
Pd 0.081 -3.111 1.188
Pd 0.000 0.000 0.000
CELL_PARAMETERS angstrom
-4.177 0.232 0.895
-0.375 -5.625 -0.289
3.529 2.274 5.654

---

Ranked by calculated energy, most stable first: <1>, <2>.

---

<1>
! Li6TlPd3 | Alexandria | PBE | relaxed; values from VASP
! total moment	0.000	μB/atom
! V	303.1	Å³/cell
&SYSTEM
  ibrav = 0, nat = 20, ntyp = 3
/
ATOMIC_SPECIES
Li 6.94 Li.upf
Tl 204.38 Tl.upf
Pd 106.42 Pd.upf
ATOMIC_POSITIONS angstrom
Li -1.970 -2.076 -4.740
Li -3.345 -6.768 3.732
Li -3.685 -1.053 0.062
Li -1.629 -7.791 -1.070
Li -5.326 -4.373 3.415
Li 0.011 -4.471 -4.424
Li -4.333 -3.693 1.003
Li -0.982 -5.151 -2.011
Li -2.995 -2.730 -2.237
Li -2.320 -6.114 1.229
Li -4.340 -7.985 -0.215
Li -0.975 -0.859 -0.793
Tl -3.695 -5.467 -1.184
Tl -1.619 -3.377 0.176
Pd -2.541 -4.633 -3.975
Pd -2.773 -4.211 2.967
Pd -4.854 -6.171 1.657
Pd -0.461 -2.673 -2.665
Pd -5.953 -6.731 4.384
Pd 0.639 -2.113 -5.392
CELL_PARAMETERS angstrom
-4.087 0.448 -1.556
2.254 -2.815 -6.733
-3.481 -6.477 7.281

---

<2>
! Li6TlPd3 | Alexandria | PBE | relaxed; values from VASP
! total moment	0.000	μB/atom
! V	319.6	Å³/cell
&SYSTEM
  ibrav = 0, nat = 20, ntyp = 3
/
ATOMIC_SPECIES
Li 6.94 Li.upf
Tl 204.38 Tl.upf
Pd 106.42 Pd.upf
ATOMIC_POSITIONS angstrom
Li 0.311 4.020 3.921
Li 2.783 2.925 4.794
Li 1.587 0.647 6.499
Li 4.059 6.191 2.081
Li 1.308 8.749 -1.797
Li 3.815 0.299 4.938
Li 1.343 4.747 1.393
Li 3.780 -3.704 8.127
Li 1.587 -1.146 4.250
Li 4.059 4.398 -0.168
Li 0.311 2.121 1.537
Li 2.783 1.025 2.410
Tl 0.023 -1.729 6.554
Tl 2.495 6.775 -0.223
Pd 2.504 5.630 4.038
Pd 0.032 2.680 6.389
Pd 0.808 1.418 4.046
Pd 3.280 3.628 2.285
Pd 0.032 -0.585 2.293
Pd 2.504 2.366 -0.058
CELL_PARAMETERS angstrom
4.943 0.000 0.000
0.000 8.768 -1.811
0.000 -3.722 8.142

---

Ranked by calculated energy, most stable first: <1>, <2>.

---

<1>
! Li2TlPd3 | Alexandria | PBE | relaxed; values from VASP
! total moment	0.000	μB/atom
! V	93.8	Å³/cell
&SYSTEM
  ibrav = 0, nat = 6, ntyp = 3
/
ATOMIC_SPECIES
Li 6.94 Li.upf
Tl 204.38 Tl.upf
Pd 106.42 Pd.upf
ATOMIC_POSITIONS angstrom
Li -2.273 -2.005 0.838
Li -0.839 -4.354 -0.719
Tl 0.000 0.000 0.000
Pd 0.386 -2.572 0.932
Pd -1.908 -4.440 1.720
Pd -1.204 -1.920 -1.601
CELL_PARAMETERS angstrom
-3.703 0.316 2.406
-0.180 -1.531 -4.151
0.772 -5.144 1.864

---

<2>
! Li2TlPd3 | Alexandria | PBE | relaxed; values from VASP
! total moment	0.000	μB/atom
! V	185.9	Å³/cell
&SYSTEM
  ibrav = 0, nat = 12, ntyp = 3
/
ATOMIC_SPECIES
Li 6.94 Li.upf
Tl 204.38 Tl.upf
Pd 106.42 Pd.upf
ATOMIC_POSITIONS angstrom
Li 0.000 0.000 0.000
Li -0.014 0.000 3.299
Li 2.149 2.207 3.308
Li 4.312 4.304 3.317
Tl 2.163 2.033 0.009
Tl 4.326 4.479 0.018
Pd 4.306 2.155 4.810
Pd 2.155 0.000 1.882
Pd 2.155 4.356 1.815
Pd 4.318 2.155 1.824
Pd 2.143 4.356 4.801
Pd 2.143 0.000 4.734
CELL_PARAMETERS angstrom
4.326 0.000 0.018
2.163 6.511 0.009
-0.028 0.000 6.598

---

Ranked by calculated energy, most stable first: <1>, <2>.

---

<1>
! Li3TlPd2 | Alexandria | PBE | relaxed; values from VASP
! total moment	0.000	μB/atom
! V	187.1	Å³/cell
&SYSTEM
  ibrav = 0, nat = 12, ntyp = 3
/
ATOMIC_SPECIES
Li 6.94 Li.upf
Tl 204.38 Tl.upf
Pd 106.42 Pd.upf
ATOMIC_POSITIONS angstrom
Li 2.067 1.919 0.000
Li 2.067 5.758 0.000
Li 2.067 -1.919 3.774
Li 0.000 1.919 2.121
Li 0.000 5.758 2.121
Li 2.067 1.919 3.774
Tl 0.000 3.838 0.000
Tl 0.000 0.000 0.000
Pd 0.000 0.000 3.926
Pd 2.067 0.000 1.969
Pd 0.000 3.838 3.926
Pd 2.067 3.838 1.969
CELL_PARAMETERS angstrom
4.133 0.000 0.000
0.000 7.677 0.000
-2.067 -3.838 5.895

---

<2>
! Li3TlPd2 | Alexandria | PBE | relaxed; values from VASP
! total moment	0.000	μB/atom
! V	185.3	Å³/cell
&SYSTEM
  ibrav = 0, nat = 12, ntyp = 3
/
ATOMIC_SPECIES
Li 6.94 Li.upf
Tl 204.38 Tl.upf
Pd 106.42 Pd.upf
ATOMIC_POSITIONS angstrom
Li 3.281 1.491 4.656
Li 1.094 4.863 3.934
Li 3.281 3.414 2.591
Li 1.094 2.939 6.000
Li 1.094 1.882 0.686
Li 3.281 4.472 7.905
Tl 1.094 5.648 6.549
Tl 3.281 0.705 2.042
Pd 1.094 2.281 3.399
Pd 3.281 4.073 5.192
Pd 3.281 1.836 7.216
Pd 1.094 4.518 1.375
CELL_PARAMETERS angstrom
4.374 0.000 0.000
0.000 5.391 0.624
0.000 0.962 7.967

---

Ranked by calculated energy, most stable first: <1>, <2>.

---

<1>
! Li4TlPd3 | Alexandria | PBE | relaxed; values from VASP
! total moment	0.000	μB/atom
! V	126.8	Å³/cell
&SYSTEM
  ibrav = 0, nat = 8, ntyp = 3
/
ATOMIC_SPECIES
Li 6.94 Li.upf
Tl 204.38 Tl.upf
Pd 106.42 Pd.upf
ATOMIC_POSITIONS angstrom
Li 6.697 -4.178 2.261
Li 2.775 -1.955 -0.803
Li 5.777 -3.305 -0.147
Li 3.695 -2.827 1.606
Tl -0.115 -0.878 -1.280
Pd 2.114 0.588 -0.594
Pd 5.129 -0.758 0.058
Pd 4.343 -5.374 1.401
CELL_PARAMETERS angstrom
-0.231 -1.756 -2.561
4.228 1.177 -1.188
5.475 -5.553 5.208

---

<2>
! Li4TlPd3 | Alexandria | PBE | relaxed; values from VASP
! total moment	0.000	μB/atom
! V	235.7	Å³/cell
&SYSTEM
  ibrav = 0, nat = 16, ntyp = 3
/
ATOMIC_SPECIES
Tl 204.38 Tl.upf
Pd 106.42 Pd.upf
Li 6.94 Li.upf
ATOMIC_POSITIONS angstrom
Tl 0.000 3.228 0.000
Tl 0.000 3.228 4.273
Pd 0.000 0.000 0.000
Pd 0.000 0.000 4.273
Pd 2.137 0.000 6.409
Pd 2.136 0.000 2.136
Pd 2.136 3.228 6.409
Pd 2.136 3.228 2.136
Li 2.136 4.983 0.000
Li 2.136 4.983 4.273
Li 2.136 1.473 0.000
Li 2.136 1.473 4.273
Li 0.000 4.983 6.409
Li 4.272 4.983 2.136
Li 4.272 1.472 2.136
Li 0.000 1.472 6.409
CELL_PARAMETERS angstrom
4.272 0.000 0.000
0.000 6.456 0.000
0.000 0.000 8.545

---

Ranked by calculated energy, most stable first: <2>, <1>.

---

<1>
! Li8TlPd2 | Alexandria | PBE | relaxed; values from VASP
! total moment	0.000	μB/atom
! V	197.6	Å³/cell
&SYSTEM
  ibrav = 0, nat = 11, ntyp = 3
/
ATOMIC_SPECIES
Li 6.94 Li.upf
Tl 204.38 Tl.upf
Pd 106.42 Pd.upf
ATOMIC_POSITIONS angstrom
Li -0.751 -4.543 2.295
Li -2.170 -5.371 6.755
Li 1.081 -2.090 2.819
Li 0.045 -4.039 8.051
Li -1.471 -3.179 4.740
Li 1.687 -4.330 4.426
Li 0.744 -1.847 6.037
Li -0.675 -2.675 10.497
Tl 0.066 -2.352 0.234
Pd -0.709 -0.836 4.182
Pd -0.850 -1.678 8.141
CELL_PARAMETERS angstrom
0.132 -4.704 0.468
2.636 -1.715 6.776
-4.194 -0.798 5.547

---

<2>
! Li8TlPd2 | Alexandria | PBE | relaxed; values from VASP
! total moment	0.000	μB/atom
! V	185.6	Å³/cell
&SYSTEM
  ibrav = 0, nat = 11, ntyp = 3
/
ATOMIC_SPECIES
Li 6.94 Li.upf
Tl 204.38 Tl.upf
Pd 106.42 Pd.upf
ATOMIC_POSITIONS angstrom
Li 1.701 5.441 -1.452
Li 0.839 3.482 2.758
Li 0.502 1.023 1.649
Li -0.343 1.982 -1.126
Li 2.491 5.281 1.143
Li 2.154 2.823 0.035
Li 1.292 0.864 4.245
Li 3.336 4.322 3.918
Tl 1.961 0.000 -0.597
Pd 0.096 4.396 0.314
Pd 2.897 1.908 2.478
CELL_PARAMETERS angstrom
3.923 0.000 -1.194
-1.074 6.213 -3.529
0.144 0.092 7.515

---

Ranked by calculated energy, most stable first: <2>, <1>.

---

<1>
! LiTl3Pd6 | Alexandria | PBE | relaxed; values from VASP
! total moment	0.000	μB/atom
! V	395.3	Å³/cell
&SYSTEM
  ibrav = 0, nat = 20, ntyp = 3
/
ATOMIC_SPECIES
Li 6.94 Li.upf
Tl 204.38 Tl.upf
Pd 106.42 Pd.upf
ATOMIC_POSITIONS angstrom
Li 8.180 0.577 5.774
Li 4.029 5.500 1.851
Tl 3.868 5.917 5.435
Tl 8.019 3.978 6.981
Tl 2.322 2.740 4.050
Tl 6.473 3.337 3.575
Tl 8.019 0.160 2.190
Tl 3.868 2.099 0.644
Pd 1.129 5.413 5.005
Pd 5.280 3.671 6.394
Pd 2.511 3.600 6.653
Pd 6.662 5.682 4.994
Pd 1.947 -0.680 6.776
Pd 5.617 1.236 5.249
Pd 1.466 4.841 2.376
Pd 6.098 6.757 0.849
Pd 2.511 0.395 2.631
Pd 6.662 2.477 0.972
Pd 1.129 2.406 1.231
Pd 5.280 0.663 2.620
CELL_PARAMETERS angstrom
8.301 0.000 0.000
0.000 6.858 0.769
0.000 -0.781 6.857

---

<2>
! LiTl3Pd6 | Alexandria | PBE | relaxed; values from VASP
! total moment	0.000	μB/atom
! V	350.0	Å³/cell
&SYSTEM
  ibrav = 0, nat = 20, ntyp = 3
/
ATOMIC_SPECIES
Li 6.94 Li.upf
Tl 204.38 Tl.upf
Pd 106.42 Pd.upf
ATOMIC_POSITIONS angstrom
Li 1.188 6.691 3.154
Li 3.564 0.206 4.231
Tl 1.188 3.839 2.327
Tl 3.564 3.059 5.059
Tl 1.188 2.159 6.982
Tl 3.564 4.739 0.403
Tl 1.188 5.306 7.819
Tl 3.564 1.592 -0.434
Pd 1.188 3.334 -0.567
Pd 3.564 3.564 7.952
Pd 1.188 1.124 1.396
Pd 3.564 5.774 5.989
Pd 1.188 4.657 4.980
Pd 3.564 2.240 2.405
Pd 1.188 1.649 4.201
Pd 3.564 5.249 3.184
Pd 1.188 6.249 0.413
Pd 3.564 0.649 6.972
Pd 1.188 0.072 8.753
Pd 3.564 6.826 -1.368
CELL_PARAMETERS angstrom
4.751 0.000 0.000
0.000 7.269 -2.898
0.000 -0.371 10.283

---

Ranked by calculated energy, most stable first: <2>, <1>.

---

<1>
! Li2Tl3Pd3 | Alexandria | PBE | relaxed; values from VASP
! total moment	0.000	μB/atom
! V	303.1	Å³/cell
&SYSTEM
  ibrav = 0, nat = 16, ntyp = 3
/
ATOMIC_SPECIES
Li 6.94 Li.upf
Tl 204.38 Tl.upf
Pd 106.42 Pd.upf
ATOMIC_POSITIONS angstrom
Li 0.000 2.332 4.039
Li 2.682 4.664 0.000
Li 0.000 4.664 0.000
Li 2.682 2.332 4.039
Tl 4.024 1.799 -1.039
Tl 4.024 5.196 3.000
Tl 4.024 0.000 2.077
Tl 1.341 5.196 -3.000
Tl 1.341 1.799 1.039
Tl 1.341 0.000 6.000
Pd 4.024 4.200 -2.425
Pd 4.024 2.795 1.614
Pd 4.024 0.000 4.850
Pd 1.341 2.795 -1.614
Pd 1.341 4.200 2.425
Pd 1.341 0.000 3.228
CELL_PARAMETERS angstrom
5.365 0.000 0.000
0.000 6.995 -4.039
0.000 0.000 8.078

---

<2>
! Li2Tl3Pd3 | Alexandria | PBE | relaxed; values from VASP
! total moment	0.000	μB/atom
! V	308.9	Å³/cell
&SYSTEM
  ibrav = 0, nat = 16, ntyp = 3
/
ATOMIC_SPECIES
Li 6.94 Li.upf
Tl 204.38 Tl.upf
Pd 106.42 Pd.upf
ATOMIC_POSITIONS angstrom
Li 9.615 1.263 10.177
Li 3.399 -1.147 5.074
Li 7.082 1.089 8.414
Li 0.867 -1.321 3.312
Tl 4.674 1.326 5.950
Tl 11.100 -1.020 11.221
Tl -0.618 0.962 2.268
Tl 5.807 -1.383 7.538
Tl 2.329 1.511 3.640
Tl 8.152 -1.568 9.849
Pd 3.023 -0.235 7.641
Pd 11.969 0.488 8.986
Pd -1.488 -0.545 4.502
Pd 7.458 0.178 5.847
Pd 1.058 -0.037 5.620
Pd 9.423 -0.021 7.869
CELL_PARAMETERS angstrom
-1.400 3.307 1.686
-1.459 -4.282 2.520
13.341 0.917 9.282

---

Ranked by calculated energy, most stable first: <1>, <2>.

---

<1>
! Li6TlPd2 | Alexandria | PBE | relaxed; values from VASP
! total moment	0.000	μB/atom
! V	140.0	Å³/cell
&SYSTEM
  ibrav = 0, nat = 9, ntyp = 3
/
ATOMIC_SPECIES
Li 6.94 Li.upf
Tl 204.38 Tl.upf
Pd 106.42 Pd.upf
ATOMIC_POSITIONS angstrom
Li 1.310 2.914 3.637
Li -2.649 3.507 2.050
Li -3.406 1.409 3.153
Li -0.291 4.262 2.291
Li 0.553 0.816 4.740
Li -1.805 0.062 4.498
Tl 0.000 0.000 0.000
Pd -1.393 2.874 4.514
Pd -0.703 1.449 2.276
CELL_PARAMETERS angstrom
-4.749 2.047 0.638
0.166 -2.082 4.768
2.487 4.358 1.383

---

<2>
! Li6TlPd2 | Alexandria | PBE | relaxed; values from VASP
! total moment	0.000	μB/atom
! V	142.2	Å³/cell
&SYSTEM
  ibrav = 0, nat = 9, ntyp = 3
/
ATOMIC_SPECIES
Li 6.94 Li.upf
Tl 204.38 Tl.upf
Pd 106.42 Pd.upf
ATOMIC_POSITIONS angstrom
Li 5.871 -7.670 3.088
Li 0.451 -4.062 4.903
Li 2.389 -5.877 0.705
Li 2.699 -5.434 4.995
Li 3.622 -6.298 2.995
Li 3.932 -5.856 7.286
Tl -1.394 -2.421 0.403
Pd 2.124 -3.909 2.670
Pd 4.198 -7.823 5.320
CELL_PARAMETERS angstrom
-1.394 -2.421 0.403
5.339 -6.042 0.587
2.377 -3.269 7.001

---

Ranked by calculated energy, most stable first: <1>, <2>.